# Bi19S27Br3

A crystal of Bi19S27Br3 relaxed with PBEsol (meta-GGA SCAN, Alexandria via LeMat-Bulk).

```
Bi19S27Br3
1.0
-10.7708 -3.2005 4.0760
-1.5766 0.2186 -15.6780
9.7447 -11.2096 5.2648
Bi S Br
38 54 6
direct
0.1194 0.4855 0.6124
0.7772 0.4801 0.6094
0.4445 0.4841 0.6119
0.1678 0.3906 0.8708
0.8326 0.3881 0.8722
0.5070 0.3876 0.8731
0.9604 0.1278 0.5159
0.6339 0.1269 0.5145
0.2970 0.1292 0.5199
0.5449 0.5146 0.3876
0.2197 0.5157 0.3880
0.8872 0.5198 0.3906
0.4966 0.6094 0.1293
0.1574 0.6124 0.1270
0.8317 0.6120 0.1277
0.7040 0.8723 0.4843
0.3673 0.8707 0.4802
0.0304 0.8730 0.4854
0.8327 0.0000 0.0000
0.3338 0.0000 0.0000
0.0643 0.7588 0.7003
0.4088 0.7781 0.7040
0.7402 0.7606 0.7008
0.7048 0.2960 0.0741
0.0395 0.2992 0.0598
0.3640 0.2997 0.0585
0.9797 0.9402 0.2394
0.3055 0.9415 0.2412
0.6307 0.9259 0.2219
0.2555 0.2217 0.2958
0.5998 0.2413 0.2996
0.9238 0.2392 0.2992
0.6246 0.7008 0.9400
0.9597 0.7042 0.9259
0.3003 0.7004 0.9417
0.3585 0.0583 0.7587
0.6846 0.0600 0.7608
0.0338 0.0741 0.7783
0.3662 0.6090 0.7396
0.0278 0.6033 0.7397
0.6973 0.6036 0.7393
0.2882 0.2603 0.8636
0.9580 0.2607 0.8643
0.6266 0.2604 0.8694
0.0937 0.1357 0.3964
0.7572 0.1306 0.3910
0.4245 0.1364 0.3967
0.2982 0.3908 0.2602
0.9669 0.3963 0.2606
0.6364 0.3967 0.2602
0.3762 0.7398 0.1366
0.0380 0.7398 0.1306
0.7062 0.7394 0.1356
0.5706 0.8644 0.6037
0.2397 0.8634 0.6033
0.9074 0.8694 0.6092
0.4684 0.6129 0.5455
0.1370 0.6144 0.5470
0.8002 0.6114 0.5461
0.2541 0.4539 0.0653
0.9229 0.4545 0.0674
0.5901 0.4530 0.0675
0.5226 0.9325 0.3856
0.1888 0.9347 0.3886
0.8555 0.9326 0.3871
0.1958 0.3869 0.4544
0.8641 0.3886 0.4539
0.5273 0.3855 0.4529
0.4102 0.5461 0.9347
0.0744 0.5471 0.9326
0.7414 0.5456 0.9325
0.1418 0.0674 0.6145
0.8089 0.0675 0.6131
0.4755 0.0653 0.6114
0.2977 0.8158 0.8347
0.9692 0.8243 0.8375
0.6340 0.8167 0.8351
0.1318 0.1625 0.9868
0.7989 0.1649 0.9816
0.4630 0.1653 0.9811
0.8173 0.0184 0.1833
0.4819 0.0189 0.1842
0.1449 0.0132 0.1757
0.3663 0.1834 0.1647
0.0305 0.1836 0.1651
0.6948 0.1757 0.1624
0.5325 0.8376 0.0133
0.2017 0.8353 0.0188
0.8654 0.8349 0.0185
0.8469 0.9815 0.8164
0.5191 0.9867 0.8243
0.1829 0.9812 0.8166
0.4154 0.6659 0.3336
0.0818 0.6664 0.3323
0.7495 0.6677 0.3341
0.2491 0.3341 0.6665
0.9151 0.3324 0.6659
0.5827 0.3335 0.6676
```


# TlTeCl4

A crystal of TlTeCl4 relaxed with PBEsol (meta-GGA SCAN, Alexandria via LeMat-Bulk).

```
TlTeCl4
1.0
-1.9311 5.6818 -0.1766
-5.1494 1.3351 -2.7829
-4.8063 1.6378 3.2032
Tl Te Cl
1 1 4
direct
0.0000 0.0000 0.0000
0.7500 0.7500 0.7500
0.3749 0.3749 0.3749
0.3749 0.3749 0.8753
0.8753 0.3749 0.3749
0.3749 0.8753 0.3749
```

Computed properties:
Its density of states at the Fermi level is 1.09 states/eV/cell.


# Fe2CoSb

A crystal of Fe2CoSb relaxed with PBEsol (meta-GGA SCAN, Alexandria via LeMat-Bulk).

```
Fe2CoSb
1.0
-2.6094 2.1813 -1.2106
-1.5748 -2.7990 -1.6488
-0.0001 -0.4088 4.6462
Co Fe Sb
1 2 1
direct
0.0000 0.0000 0.0000
0.7500 0.2500 0.5000
0.2500 0.7500 0.5000
0.5000 0.5000 0.0000
```

Computed properties:
Its density of states at the Fermi level is 2.56 states/eV/cell.


# GdYCu4

A crystal of GdYCu4 relaxed with PBEsol (meta-GGA SCAN, Alexandria via LeMat-Bulk).

```
GdYCu4
1.0
-3.5877 -2.0768 0.9603
-0.6277 -0.8409 5.2640
-4.0804 3.2610 1.2358
Gd Y Cu
1 1 4
direct
0.5453 0.4547 0.4547
0.4558 0.0442 0.0442
0.1644 0.6398 0.0314
0.8349 0.8622 0.4680
0.8349 0.4680 0.8622
0.1644 0.0314 0.6398
```

Computed properties:
The formation energy is -0.2653 eV/atom. Its density of states at the Fermi level is 3.68 states/eV/cell.


# CuTc2Cl

A crystal of CuTc2Cl relaxed with PBEsol (meta-GGA SCAN, Alexandria via LeMat-Bulk).

```
CuTc2Cl
1.0
2.7758 -0.0160 0.0000
-0.3296 4.6749 0.0000
-1.2231 -2.3294 4.2895
Cl Cu Tc
1 1 2
direct
0.0000 0.5000 0.0000
0.5000 0.0000 0.0000
0.5000 0.5000 0.5000
0.0000 0.0000 0.5000
```

Computed properties:
The value obtained for the relative energy among the computed polymorphs is 0.0 meV/atom. Its density of states at the Fermi level is 4.73 states/eV/cell.


# PrCo12B6

A crystal of PrCo12B6 relaxed with PBEsol (meta-GGA SCAN, Alexandria via LeMat-Bulk).

```
PrCo12B6
1.0
5.9085 -0.0037 -0.0051
-1.4296 5.7330 -0.0051
-1.4296 -1.8286 5.4335
Pr Co B
1 12 6
direct
0.0000 0.0000 0.0000
0.8667 0.5000 0.1333
0.1333 0.8667 0.5000
0.5000 0.1333 0.8667
0.8667 0.1333 0.5000
0.5000 0.8667 0.1333
0.1333 0.5000 0.8667
0.8131 0.5415 0.5415
0.5415 0.8131 0.5415
0.5415 0.5415 0.8131
0.1869 0.4585 0.4585
0.4585 0.1869 0.4585
0.4585 0.4585 0.1869
0.3268 0.7683 0.7683
0.7683 0.3268 0.7683
0.7683 0.7683 0.3268
0.6732 0.2317 0.2317
0.2317 0.6732 0.2317
0.2317 0.2317 0.6732
```

Computed properties:
The formation energy is -0.2553 eV/atom. Its density of states at the Fermi level is 11.24 states/eV/cell.


# MgTl2Hg

A crystal of MgTl2Hg relaxed with PBEsol (meta-GGA SCAN, Alexandria via LeMat-Bulk).

```
MgTl2Hg
1.0
-0.8323 -3.1892 1.0803
1.3170 0.7158 3.1279
-7.3838 2.7657 2.4760
Mg Tl Hg
1 2 1
direct
0.5000 0.5000 0.7250
0.0000 0.0000 0.9770
0.5000 0.5000 0.2663
0.0000 0.0000 0.5316
```

Computed properties:
The formation energy is -0.0973 eV/atom. Its density of states at the Fermi level is 1.60 states/eV/cell.


# Ba3PdRh

A crystal of Ba3PdRh relaxed with PBEsol (meta-GGA SCAN, Alexandria via LeMat-Bulk).

```
Ba3PdRh
1.0
5.7450 0.0000 0.0000
0.0000 5.7450 0.0000
0.0000 0.0000 5.7450
Rh Ba Pd
1 3 1
direct
0.0000 0.0000 0.0000
0.0000 0.5000 0.0000
0.0000 0.0000 0.5000
0.5000 0.0000 0.0000
0.5000 0.5000 0.5000
```

Computed properties:
The formation energy is -0.0317 eV/atom. Its density of states at the Fermi level is 3.45 states/eV/cell.


# Li2CaC2

A crystal of Li2CaC2 relaxed with PBEsol (meta-GGA SCAN, Alexandria via LeMat-Bulk).

```
Li2CaC2
1.0
2.4007 0.0000 0.0000
0.0000 6.5446 0.0000
0.0000 0.0000 6.5446
Ca C Li
2 4 4
direct
0.0000 0.0000 0.0000
0.0000 0.5000 0.5000
0.5000 0.1788 0.6788
0.5000 0.6788 0.8212
0.5000 0.8212 0.3212
0.5000 0.3212 0.1788
0.0000 0.3845 0.8845
0.0000 0.8845 0.6155
0.0000 0.6155 0.1155
0.0000 0.1155 0.3845
```

Computed properties:
The value obtained for the relative energy among the computed polymorphs is 838.9 meV/atom. The formation energy is 0.9269 eV/atom. Its density of states at the Fermi level is 3.21 states/eV/cell.


# KRb3Br

A crystal of KRb3Br relaxed with PBEsol (meta-GGA SCAN, Alexandria via LeMat-Bulk).

```
KRb3Br
1.0
6.8828 0.0000 0.0000
0.0000 6.8828 0.0000
0.0000 0.0000 6.8828
K Rb Br
1 3 1
direct
0.5000 0.5000 0.5000
0.0000 0.5000 0.0000
0.0000 0.0000 0.5000
0.5000 0.0000 0.0000
0.0000 0.0000 0.0000
```

Computed properties:
Its density of states at the Fermi level is 2.77 states/eV/cell.


# Hf2Ag

A crystal of Hf2Ag relaxed with PBEsol (meta-GGA SCAN, Alexandria via LeMat-Bulk).

```
Hf2Ag
1.0
3.1737 0.0000 0.0000
0.0000 3.1737 0.0000
-1.5869 -1.5869 5.8937
Hf Ag
2 1
direct
0.6645 0.6645 0.3290
0.3355 0.3355 0.6710
0.0000 0.0000 0.0000
```

Computed properties:
The formation energy is -0.1319 eV/atom. Its density of states at the Fermi level is 1.06 states/eV/cell.


# Pr4CdNi

A crystal of Pr4CdNi relaxed with PBEsol (meta-GGA SCAN, Alexandria via LeMat-Bulk).

```
Pr4CdNi
1.0
-0.8558 9.5708 -1.5822
-4.1760 3.2281 -8.1840
-8.7659 4.2279 0.3465
Pr Cd Ni
16 4 4
direct
0.9022 0.9022 0.2933
0.2933 0.9022 0.9022
0.9022 0.9022 0.9022
0.9022 0.2933 0.9022
0.0574 0.4426 0.4426
0.4426 0.0574 0.0574
0.0574 0.0574 0.4426
0.4426 0.4426 0.0574
0.4426 0.0574 0.4426
0.0574 0.4426 0.0574
0.6878 0.3122 0.3122
0.3122 0.6878 0.6878
0.6878 0.6878 0.3122
0.3122 0.3122 0.6878
0.3122 0.6878 0.3122
0.6878 0.3122 0.6878
0.6712 0.6712 0.9865
0.9865 0.6712 0.6712
0.6712 0.6712 0.6712
0.6712 0.9865 0.6712
0.1076 0.1076 0.6773
0.6773 0.1076 0.1076
0.1076 0.1076 0.1076
0.1076 0.6773 0.1076
```

Computed properties:
The formation energy is -0.2769 eV/atom. Its density of states at the Fermi level is 16.43 states/eV/cell.


# Nd4MgRh

A crystal of Nd4MgRh relaxed with PBEsol (meta-GGA SCAN, Alexandria via LeMat-Bulk).

```
Nd4MgRh
1.0
9.8484 0.0000 0.0000
4.9242 8.5289 0.0000
4.9242 2.8430 8.0411
Nd Mg Rh
16 4 4
direct
0.4031 0.4031 0.7907
0.7907 0.4031 0.4031
0.4031 0.4031 0.4031
0.4031 0.7907 0.4031
0.5621 0.9379 0.9379
0.9379 0.5621 0.5621
0.5621 0.5621 0.9379
0.9379 0.9379 0.5621
0.9379 0.5621 0.9379
0.5621 0.9379 0.5621
0.1875 0.8125 0.8125
0.8125 0.1875 0.1875
0.1875 0.1875 0.8125
0.8125 0.8125 0.1875
0.8125 0.1875 0.8125
0.1875 0.8125 0.1875
0.1705 0.1705 0.4884
0.4884 0.1705 0.1705
0.1705 0.1705 0.1705
0.1705 0.4884 0.1705
0.6078 0.6078 0.1765
0.1765 0.6078 0.6078
0.6078 0.6078 0.6078
0.6078 0.1765 0.6078
```

Computed properties:
The formation energy is -0.4025 eV/atom. Its density of states at the Fermi level is 18.23 states/eV/cell.


# SiAsPd2Ru

A crystal of SiAsPd2Ru relaxed with PBEsol (meta-GGA SCAN, Alexandria via LeMat-Bulk).

```
SiAsPd2Ru
1.0
4.5053 0.0000 0.0000
0.0000 4.5053 0.0000
0.0000 0.0000 4.6177
Ru As Si Pd
1 1 1 2
direct
0.5000 0.5000 0.5000
0.0000 0.0000 0.0000
0.0000 0.0000 0.5000
0.0000 0.5000 0.0000
0.5000 0.0000 0.0000
```

Computed properties:
Its density of states at the Fermi level is 4.04 states/eV/cell.


# BaCu3Br

A crystal of BaCu3Br relaxed with PBEsol (meta-GGA SCAN, Alexandria via LeMat-Bulk).

```
BaCu3Br
1.0
-3.4021 3.0987 -1.6683
-3.4935 -3.2541 1.0800
-0.4254 1.9413 4.4733
Cu Ba Br
3 1 1
direct
0.0000 0.5000 0.0000
0.0000 0.0000 0.5000
0.5000 0.0000 0.0000
0.5000 0.5000 0.5000
0.0000 0.0000 0.0000
```

Computed properties:
The value obtained for the relative energy among the computed polymorphs is 0.0 meV/atom. Its density of states at the Fermi level is 2.40 states/eV/cell.


# AlSiAs2

A crystal of AlSiAs2 relaxed with PBEsol (meta-GGA SCAN, Alexandria via LeMat-Bulk).

```
AlSiAs2
1.0
4.5727 0.0000 0.0000
2.2864 3.9601 0.0000
2.2864 1.3200 3.7336
As Si Al
2 1 1
direct
0.2500 0.2500 0.2500
0.7500 0.7500 0.7500
0.5000 0.5000 0.5000
0.0000 0.0000 0.0000
```

Computed properties:
The value obtained for the relative energy among the computed polymorphs is 2.8 meV/atom. Its density of states at the Fermi level is 1.88 states/eV/cell.


# CsSc3Mn

A crystal of CsSc3Mn relaxed with PBEsol (meta-GGA SCAN, Alexandria via LeMat-Bulk).

```
CsSc3Mn
1.0
-1.1392 -3.2836 3.6818
4.5071 0.8438 2.1471
-2.0060 3.7605 2.7331
Cs Sc Mn
1 3 1
direct
0.5000 0.5000 0.5000
0.0000 0.5000 0.0000
0.0000 0.0000 0.5000
0.5000 0.0000 0.0000
0.0000 0.0000 0.0000
```

Computed properties:
The formation energy is 0.5711 eV/atom. Its density of states at the Fermi level is 5.83 states/eV/cell.


# Rb2DyAgCl6

A crystal of Rb2DyAgCl6 relaxed with PBEsol (meta-GGA SCAN, Alexandria via LeMat-Bulk).

```
Rb2DyAgCl6
1.0
7.4208 0.0000 0.0000
3.7104 6.4266 0.0000
3.7104 2.1422 6.0591
Rb Dy Ag Cl
2 1 1 6
direct
0.7500 0.7500 0.7500
0.2500 0.2500 0.2500
0.0000 0.0000 0.0000
0.5000 0.5000 0.5000
0.7528 0.2472 0.2472
0.7528 0.7528 0.2472
0.2472 0.7528 0.7528
0.7528 0.2472 0.7528
0.2472 0.7528 0.2472
0.2472 0.2472 0.7528
```

Computed properties:
Its density of states at the Fermi level is 0.00 states/eV/cell.


# ZnGa3O

A crystal of ZnGa3O relaxed with PBEsol (meta-GGA SCAN, Alexandria via LeMat-Bulk).

```
ZnGa3O
1.0
4.6088 0.0000 0.0000
0.0000 4.6088 0.0000
0.0000 0.0000 4.6088
Zn O Ga
1 1 3
direct
0.0000 0.0000 0.0000
0.5000 0.5000 0.5000
0.0000 0.5000 0.0000
0.0000 0.0000 0.5000
0.5000 0.0000 0.0000
```

Computed properties:
Its density of states at the Fermi level is 1.10 states/eV/cell.


| no. | final energy (eV per atom) | total moment (μB/f.u.) |
| --- | --- | --- |
| 1 | -37.28 | 0.0 |
| 2 | -23.38 | 5.0 |
| 3 | -22.60 | 6.3 |
| 4 | -24.84 | 7.5 |
| 5 | -22.44 | 0.0 |
| 6 | -15.81 | 8.8 |
| 7 | -54.56 | 0.0 |
| 8 | -37.07 | 0.0 |
| 9 | -6.00 | 0.0 |
| 10 | -18.72 | 0.2 |
| 11 | -52.37 | 0.0 |
| 12 | -36.93 | 0.0 |
| 13 | -35.91 | 0.0 |
| 14 | -25.14 | 2.5 |
| 15 | -20.27 | 0.0 |
| 16 | -14.15 | 0.0 |
| 17 | -19.18 | 1.1 |
| 18 | -18.89 | 0.0 |
| 19 | -13.26 | 0.0 |